Cs3FeF6 (PBE with a Hubbard U, relaxed); total energy = -4.614 eV per atom; ρ = 4.14 Mg/m³; D(E_F) = 0.000 states/eV/cell; space-group type = I4/mmm; magnetic moment = 5.00 μB per formula unit
1.0
6.926 -0.009 0.000
0.396 6.914 0.000
-3.661 -3.453 4.758
Cs F Fe
3 6 1
direct
0.250 0.750 0.500
0.750 0.250 0.500
0.500 0.500 0.000
0.711 0.000 0.711
0.000 0.711 0.711
0.796 0.796 0.000
0.204 0.204 0.000
0.289 0.000 0.289
0.000 0.289 0.289
0.000 0.000 0.000